Entry 1:
A plane-wave DFT calculation with PBE was carried out for CsInIBr after structural relaxation.

Summary:
Total moment   0.0 μB/f.u.
Energy above the most stable polymorph in this dataset   0.054 eV/atom
Space-group type   F-43m (216)
Formation energy (no corrections)   -1030 meV per atom

Unit cell a=6.133 b=6.133 c=6.133 alpha=60.00 beta=60.00 gamma=60.00
Sites, in units of the cell vectors:
1 Cs 0.250 0.250 0.250
2 Br 0.500 0.500 0.500
3 I 0.000 0.000 0.000
4 In 0.750 0.750 0.750

---

Entry 2:
A plane-wave DFT calculation with PBE was carried out for Te2AsN2 after structural relaxation.

Summary:
Total moment   0.9 μB/f.u.
Energy above the most stable polymorph in this dataset   1.377 eV/atom
Space-group type   P4/mmm (123)
Formation energy (no corrections)   1435 meV per atom

Unit cell a=4.013 b=4.013 c=6.860 alpha=90.00 beta=90.00 gamma=90.00
Last column: magnetic moment on the atom in μB.
Sites, in units of the cell vectors:
1 N 0.000 0.500 0.000  0.08
2 Te 0.000 0.000 0.000  -0.01
3 N 0.500 0.000 0.000  0.08
4 As 0.500 0.500 0.500  0.32
5 Te 0.000 0.000 0.500  0.00